A plane-wave DFT calculation with GGA+U was carried out for a relaxed structure of In2FeSbO7.

Geometry as POSCAR:
```
In2FeSbO7
1.0
-3.6074 3.6229 5.0882
3.6074 -3.6229 5.0882
3.6074 3.6229 -5.0882
In Fe Sb O
4 2 2 14
Direct
0.0000 0.0000 0.0000
0.5000 0.0000 0.0000
0.5000 0.0000 0.5000
0.5000 0.5000 0.5000
0.0000 0.0000 0.5000
0.0000 0.5000 0.0000
0.0000 0.5000 0.5000
0.5000 0.5000 0.0000
0.0946 0.4240 0.2620
0.0946 0.8326 0.6706
0.1015 0.8515 0.2500
0.3280 0.5780 0.7500
0.3380 0.1674 0.7620
0.3380 0.5760 0.1706
0.3827 0.1327 0.2500
0.6173 0.8673 0.7500
0.6620 0.4240 0.8294
0.6620 0.8326 0.2380
0.6720 0.4220 0.2500
0.8985 0.1485 0.7500
0.9054 0.1674 0.3294
0.9054 0.5760 0.7380
```

Properties
The space-group type is Imma, No. 74. Its crystal system is orthorhombic. The value obtained for the final energy is -131.79 eV per cell. The calculation puts the volume at 133.0 Å³/f.u. The density is 6483 kg/m3.